No. 1
The following is a DFT calculation (PBEsol) of a relaxed BaRhSe3 crystal.

Cell: 4.948 4.948 4.948 Å, 90.00 90.00 90.00°
Fractional positions:
Ba  0.500  0.500  0.500
Se  0.000  0.500  0.000
Rh  0.000  0.000  0.000
Se  0.500  0.000  0.000
Se  0.000  0.000  0.500

## Properties
ΔE_f (raw) ... -0.74 eV per atom
DOS at the Fermi energy ... 1.4739 states/eV/atom

No. 2
The following is a DFT calculation (PBEsol) of a relaxed BaRhSe crystal.

Cell: 4.275 4.275 4.623 Å, 90.00 90.00 120.00°
Fractional positions:
Rh  0.333  0.667  0.500
Se  0.667  0.333  0.500
Ba  0.000  0.000  0.000

## Properties
ΔE_f (raw) ... -0.94 eV per atom
DOS at the Fermi energy ... 0.9340 states/eV/atom

No. 3
The following is a DFT calculation (PBEsol) of a relaxed Ba2SiRh crystal.

Cell: 4.243 4.984 6.172 Å, 113.81 90.00 90.00°
Fractional positions:
Ba  0.500  0.272  0.544
Si  0.500  0.581  0.161
Rh  0.000  0.668  0.336
Ba  0.000  0.979  0.957

## Properties
ΔE_f (raw) ... -0.41 eV per atom
DOS at the Fermi energy ... 0.6992 states/eV/atom

One value per record, in order, for total magnetic moment: 0.00; 0.00; 0.00 Bohr magnetons per cell.
One value per record, in order, for calculated total energy: -5.1086; -5.6516; -4.9511 eV/atom.